(1)
Computed, not measured: a relaxed structure of Th2Si4Ru5 at the PBE level of DFT.

a = 5.8757 Å, b = 10.0625 Å, c = 12.8835 Å
α = 90.00°, β = 90.00°, γ = 90.00°
With the nearest neighbours (Å) after each atom.
Space group Fmmm (No. 69)
Inequivalent atoms, fractional coordinates:
Th  0.0000  0.0000  0.1314 (multiplicity 8)  10 Ru 3.29-3.39, 8 Si 3.29-3.55, 1 Th 3.38
Si  0.0000  0.1474  0.3645 (multiplicity 16)  5 Ru 2.29-2.50
Ru  0.0000  0.0000  0.5000 (multiplicity 4)  4 Si 2.29
Ru  0.2500  0.2500  0.0000 (multiplicity 8)  4 Si 2.50
Ru  0.2500  0.2500  0.2500 (multiplicity 8)  4 Si 2.32

Computed properties:
Its total moment is 0.00 μB/atom.

(2)
Computed, not measured: a relaxed structure of ThSi3Ru5 at the PBE level of DFT.

a = 4.0305 Å, b = 12.6566 Å, c = 11.6110 Å
α = 90.00°, β = 90.00°, γ = 90.00°
With the nearest neighbours (Å) after each atom.
Space group Cmcm (No. 63)
Inequivalent atoms, fractional coordinates:
Th  0.0000  0.1834  0.2500 (multiplicity 4)  6 Si 3.22-3.28, 4 Ru 3.30
Si  0.0000  0.1126  0.7500 (multiplicity 4)  6 Ru 2.37-2.51
Si  0.0000  0.3767  0.5436 (multiplicity 8)  5 Ru 2.30-2.56
Ru  0.0000  0.0000  0.0000 (multiplicity 4)  4 Si 2.60, 6 Ru 2.60-2.68
Ru  0.0000  0.1960  0.5673 (multiplicity 8)  4 Si 2.30-2.56
Ru  0.0000  0.4556  0.1449 (multiplicity 8)  4 Si 2.41-2.51, 3 Ru 2.44-2.68

Computed properties:
Its total moment is 0.00 μB/atom.

(3)
Computed, not measured: a relaxed structure of ThSi2Ru2 at the PBE level of DFT.

a = 4.2207 Å, b = 4.2207 Å, c = 9.7754 Å
α = 90.00°, β = 90.00°, γ = 90.00°
With the nearest neighbours (Å) after each atom.
Space group I4/mmm (No. 139)
Inequivalent atoms, fractional coordinates:
Th  0.0000  0.0000  0.0000 (multiplicity 2)  8 Ru 3.23, 10 Si 3.25-3.60
Si  0.0000  0.0000  0.3681 (multiplicity 4)  4 Ru 2.41, 1 Si 2.58
Ru  0.0000  0.5000  0.2500 (multiplicity 4)  4 Si 2.41

Computed properties:
Its total moment is 0.00 μB/atom.

(4)
Computed, not measured: a relaxed structure of Th2Si6Ru9 at the PBE level of DFT.

a = 5.9539 Å, b = 5.9539 Å, c = 9.6709 Å
α = 90.00°, β = 90.00°, γ = 120.00°
With the nearest neighbours (Å) after each atom.
Space group P6/mmm (No. 191)
Inequivalent atoms, fractional coordinates:
Th  0.0000  0.0000  0.2052 (multiplicity 2)  12 Ru 3.22-3.58, 6 Si 3.46
Si  0.3333  0.6667  0.1661 (multiplicity 4)  6 Ru 2.35-2.36
Si  0.3333  0.6667  0.5000 (multiplicity 2)  6 Ru 2.36
Ru  0.0000  0.5000  0.0000 (multiplicity 3)  4 Si 2.35
Ru  0.0000  0.5000  0.3333 (multiplicity 6)  4 Si 2.36

Computed properties:
Its total moment is 0.00 μB/atom.

(5)
Computed, not measured: a relaxed structure of Th3Si3Ru at the PBE level of DFT.

a = 10.9122 Å, b = 4.3307 Å, c = 14.1777 Å
α = 90.00°, β = 111.01°, γ = 90.00°
With the nearest neighbours (Å) after each atom.
Space group C2/m (No. 12)
Inequivalent atoms, fractional coordinates:
Th  0.0238  0.0000  0.3791 (multiplicity 4)  6 Si 3.01-3.22, 4 Ru 3.09-3.32
Th  0.1017  0.0000  0.9213 (multiplicity 4)  7 Si 3.05-3.20
Th  0.2456  0.0000  0.2266 (multiplicity 4)  6 Si 2.97-3.27
Si  0.0513  0.5000  0.2409 (multiplicity 4)  1 Ru 2.62, 1 Si 2.65
Si  0.1127  0.5000  0.0759 (multiplicity 4)  2 Si 2.62-2.65
Si  0.1423  0.5000  0.5488 (multiplicity 4)  3 Ru 2.46-2.47
Ru  0.2416  0.5000  0.4180 (multiplicity 4)  4 Si 2.46-2.62

Computed properties:
Its total moment is 0.00 μB/atom.

(6)
Computed, not measured: a relaxed structure of ThSi2Ru4 at the PBE level of DFT.

a = 7.6325 Å, b = 7.6325 Å, c = 3.8769 Å
α = 90.00°, β = 90.00°, γ = 90.00°
With the nearest neighbours (Å) after each atom.
Space group P4_2/mnm (No. 136)
Inequivalent atoms, fractional coordinates:
Th  0.0000  0.0000  0.0000 (multiplicity 2)  6 Si 3.00-3.08, 8 Ru 3.30
Si  0.2218  0.2218  0.5000 (multiplicity 4)  6 Ru 2.45-2.52
Ru  0.0765  0.6587  0.5000 (multiplicity 8)  3 Si 2.45-2.52, 5 Ru 2.69-2.72

Computed properties:
Its total moment is 0.00 μB/atom.

(7)
Computed, not measured: a relaxed structure of ThSiRu3 at the PBE level of DFT.

a = 5.0315 Å, b = 5.0315 Å, c = 16.2643 Å
α = 90.00°, β = 90.00°, γ = 90.00°
With the nearest neighbours (Å) after each atom.
Space group I-4m2 (No. 119)
Inequivalent atoms, fractional coordinates:
Th  0.0000  0.0000  0.1268 (multiplicity 4)  6 Ru 2.84-3.06
Si  0.0000  0.0000  0.5000 (multiplicity 2)  8 Ru 2.41-2.54
Si  0.0000  0.5000  0.7500 (multiplicity 2)  4 Ru 2.37
Ru  0.0000  0.2401  0.6284 (multiplicity 8)  2 Si 2.37-2.41, 2 Ru 2.42-2.62
Ru  0.0000  0.5000  0.0202 (multiplicity 4)  2 Si 2.54, 2 Ru 2.75

Computed properties:
Its total moment is 0.00 μB/atom.

(8)
Computed, not measured: a relaxed structure of Th2Si3Ru at the PBE level of DFT.

a = 8.3166 Å, b = 8.3405 Å, c = 14.2546 Å
α = 90.00°, β = 90.00°, γ = 90.00°
With the nearest neighbours (Å) after each atom.
Space group Fmmm (No. 69)
Inequivalent atoms, fractional coordinates:
Th  0.0000  0.2446  0.0000 (multiplicity 8)  2 Ru 3.13, 10 Si 3.16-3.19
Th  0.2500  0.2500  0.2500 (multiplicity 8)  8 Si 3.16-3.17, 4 Ru 3.18
Si  0.0000  0.0000  0.3331 (multiplicity 8)  2 Si 2.37, 1 Ru 2.38
Si  0.2472  0.0000  0.4164 (multiplicity 16)  2 Si 2.37-2.38, 1 Ru 2.41
Ru  0.0000  0.0000  0.1662 (multiplicity 8)  3 Si 2.38-2.41

Computed properties:
For the excess energy over the best structure of this formula in the dataset, the calculation gives 0.0 meV/atom. Its total moment is 0.00 μB/atom.

no.,formation energy (no corrections) (eV per atom)
1,-0.774
2,-0.489
3,-0.944
4,-0.492
5,-0.740
6,-0.619
7,0.021
8,-0.828